Record 1
A plane-wave DFT calculation with GGA-PBE was carried out for SrCoRu2Se after structural relaxation.

The value obtained for the electronic total energy is -5.22 eV per atom.

The structure belongs to space group P4/mmm (No. 123); the cell edges are 4.565, 4.565 and 5.537 Å and the angles 90.00°, 90.00° and 90.00°. Symmetry generates all atoms from Sr at (0.000, 0.000, 0.000), Co at (0.500, 0.500, 0.000), Ru at (0.000, 0.500, 0.500) and Se at (0.000, 0.000, 0.500).

Record 2
A plane-wave DFT calculation with GGA-PBE was carried out for LaSF after structural relaxation.

The value obtained for the electronic total energy is -6.52 eV per atom.

The structure belongs to space group P1 (No. 1); the cell edges are 4.109, 6.190 and 7.103 Å and the angles 70.07°, 89.81° and 89.80°. Symmetry generates all atoms from La at (0.000, 0.000, 0.000), La at (0.001, 0.369, 0.466), S at (0.500, 0.320, 0.772), S at (0.500, 0.683, 0.223), F at (0.002, 0.985, 0.677) and F at (0.999, 0.188, 0.234).

Record 3
A plane-wave DFT calculation with GGA-PBE was carried out for Sr2GeAs3Pd4 after structural relaxation.

The value obtained for the electronic total energy is -5.03 eV per atom. For the formation enthalpy at 0 K, the calculation gives -759 meV per atom.

The structure belongs to space group P-4m2 (No. 115); the cell edges are 4.431, 4.431 and 10.348 Å and the angles 90.00°, 90.00° and 90.00°. Symmetry generates all atoms from Sr at (0.000, 0.500, 0.247), Ge at (0.000, 0.000, 0.500), As at (0.000, 0.500, 0.870), As at (0.500, 0.500, 0.500), Pd at (0.000, 0.000, 0.000), Pd at (0.000, 0.500, 0.627) and Pd at (0.500, 0.500, 0.000).

Record 4
A plane-wave DFT calculation with GGA-PBE was carried out for CdBiF6 after structural relaxation.

The value obtained for the electronic total energy is -4.07 eV per atom.

The structure belongs to space group C2/m (No. 12); the cell edges are 5.632, 8.769 and 5.632 Å and the angles 90.00°, 101.83° and 90.00°. Symmetry generates all atoms from Cd at (0.000, 0.000, 0.000), Bi at (0.000, 0.500, 0.500), F at (0.238, 0.344, 0.740) and F at (0.248, 0.500, 0.254).

Record 5
A plane-wave DFT calculation with GGA-PBE was carried out for Nd2CdAs after structural relaxation.

The excess energy over the best structure of this formula in the dataset is 0.072 eV/atom. The value obtained for the electronic total energy is -4.52 eV per atom. For the formation enthalpy at 0 K, the calculation gives -742 meV per atom.

The structure belongs to space group P4/mmm (No. 123); the cell edges are 3.873, 3.873 and 7.049 Å and the angles 90.00°, 90.00° and 90.00°. Symmetry generates all atoms from Nd at (0.000, 0.000, 0.231), Cd at (0.500, 0.500, 0.500) and As at (0.500, 0.500, 0.000).

Record 6
A plane-wave DFT calculation with GGA-PBE was carried out for Cu2PdW after structural relaxation.

The excess energy over the best structure of this formula in the dataset is 0.465 eV/atom. The value obtained for the electronic total energy is -5.82 eV per atom. For the formation enthalpy at 0 K, the calculation gives 760 meV per atom.

The structure belongs to space group I-42d (No. 122); the cell edges are 6.839, 6.839 and 5.166 Å and the angles 90.00°, 90.00° and 90.00°. Symmetry generates all atoms from Cu at (0.248, 0.250, 0.125), Pd at (0.000, 0.000, 0.500) and W at (0.000, 0.000, 0.000).

Record 7
A plane-wave DFT calculation with GGA-PBE was carried out for Tm5Mg4Zn after structural relaxation.

The value obtained for the electronic total energy is -3.11 eV per atom. For the formation enthalpy at 0 K, the calculation gives -112 meV per atom.

The structure belongs to space group P4/mmm (No. 123); the cell edges are 3.652, 3.652 and 19.085 Å and the angles 90.00°, 90.00° and 90.00°. Symmetry generates all atoms from Tm at (0.000, 0.000, 0.000), Tm at (0.000, 0.000, 0.205), Tm at (0.000, 0.000, 0.412), Mg at (0.500, 0.500, 0.102), Mg at (0.500, 0.500, 0.307) and Zn at (0.500, 0.500, 0.500).

Record 8
A plane-wave DFT calculation with GGA-PBE was carried out for TbAgGe2 after structural relaxation.

The value obtained for the electronic total energy is -4.50 eV per atom. For the formation enthalpy at 0 K, the calculation gives -322 meV per atom.

The structure belongs to space group R-3m (No. 166, hexagonal axes); the cell edges are 4.3607, 4.3607 and 15.1786 Å and the angles 90.00°, 90.00° and 120.00°. Symmetry generates all atoms from Tb at (0.0000, 0.0000, 0.0000), Ag at (0.0000, 0.0000, 0.5000) and Ge at (0.0000, 0.0000, 0.2314).

Record 9
A plane-wave DFT calculation with GGA-PBE was carried out for BeTlP2 after structural relaxation.

The excess energy over the best structure of this formula in the dataset is 0.068 eV/atom. The value obtained for the electronic total energy is -4.10 eV per atom. For the formation enthalpy at 0 K, the calculation gives 130 meV per atom.

The structure belongs to space group P-1 (No. 2); the cell edges are 3.495, 4.329 and 5.644 Å and the angles 105.64°, 92.99° and 92.28°. Symmetry generates all atoms from Be at (0.000, 0.000, 0.000), Tl at (0.000, 0.500, 0.500) and P at (0.497, 0.243, 0.898).

Record 10
A plane-wave DFT calculation with GGA-PBE was carried out for NaScSi after structural relaxation.

The value obtained for the electronic total energy is -4.60 eV per atom.

The structure belongs to space group P2_1/m (No. 11); the cell edges are 3.338, 4.130 and 11.307 Å and the angles 90.00°, 90.18° and 90.00°. Symmetry generates all atoms from Na at (0.245, 0.250, 0.133), Sc at (0.251, 0.750, 0.595) and Si at (0.248, 0.750, 0.345).

Record 11
A plane-wave DFT calculation with GGA-PBE was carried out for Er8TlCo2 after structural relaxation.

The value obtained for the electronic total energy is -4.95 eV per atom. For the formation enthalpy at 0 K, the calculation gives -124 meV per atom.

The structure belongs to space group C2/m (No. 12); the cell edges are 8.565, 13.035 and 5.268 Å and the angles 90.00°, 103.43° and 90.00°. Symmetry generates all atoms from Er at (0.000, 0.250, 0.000), Er at (0.112, 0.000, 0.800), Er at (0.200, 0.368, 0.573), Tl at (0.000, 0.500, 0.000) and Co at (0.000, 0.192, 0.500).

Record 12
A plane-wave DFT calculation with GGA-PBE was carried out for MgCu2Te after structural relaxation.

The excess energy over the best structure of this formula in the dataset is 0.023 eV/atom. The value obtained for the electronic total energy is -3.26 eV per atom.

The structure belongs to space group Pm (No. 6); the cell edges are 3.784, 3.943 and 5.217 Å and the angles 90.00°, 110.27° and 90.00°. Symmetry generates all atoms from Mg at (0.000, 0.000, 0.000), Cu at (0.291, 0.000, 0.572), Cu at (0.441, 0.500, 0.874) and Te at (0.722, 0.500, 0.418).

Record 13
A plane-wave DFT calculation with GGA-PBE was carried out for Ba2Sb3Rh4Pb after structural relaxation.

The value obtained for the electronic total energy is -5.54 eV per atom.

The structure belongs to space group P-4m2 (No. 115); the cell edges are 4.720, 4.720 and 10.791 Å and the angles 90.00°, 90.00° and 90.00°. Symmetry generates all atoms from Ba at (0.000, 0.500, 0.247), Sb at (0.000, 0.500, 0.880), Sb at (0.500, 0.500, 0.500), Rh at (0.000, 0.000, 0.000), Rh at (0.000, 0.500, 0.632), Rh at (0.500, 0.500, 0.000) and Pb at (0.000, 0.000, 0.500).

Record 14
A plane-wave DFT calculation with GGA-PBE was carried out for Nb2FeSiBi after structural relaxation.

The value obtained for the electronic total energy is -6.15 eV per atom.

The structure belongs to space group P4/mmm (No. 123); the cell edges are 4.683, 4.683 and 5.197 Å and the angles 90.00°, 90.00° and 90.00°. Symmetry generates all atoms from Nb at (0.000, 0.500, 0.000), Fe at (0.000, 0.000, 0.500), Si at (0.500, 0.500, 0.000) and Bi at (0.500, 0.500, 0.500).

Record 15
A plane-wave DFT calculation with GGA-PBE was carried out for TmGaRuPt after structural relaxation.

The value obtained for the electronic total energy is -6.39 eV per atom. For the formation enthalpy at 0 K, the calculation gives -689 meV per atom.

The structure belongs to space group F-43m (No. 216); the cell edges are 6.456, 6.456 and 6.456 Å and the angles 90.00°, 90.00° and 90.00°. Symmetry generates all atoms from Tm at (0.000, 0.000, 0.000), Ga at (0.000, 0.000, 0.500), Ru at (0.250, 0.250, 0.250) and Pt at (0.250, 0.250, 0.750).

Record 16
A plane-wave DFT calculation with GGA-PBE was carried out for HfFe22C6 after structural relaxation.

The value obtained for the electronic total energy is -8.62 eV per atom. For the formation enthalpy at 0 K, the calculation gives 53 meV per atom.

The structure belongs to space group Fm-3m (No. 225); the cell edges are 10.556, 10.556 and 10.556 Å and the angles 90.00°, 90.00° and 90.00°. Symmetry generates all atoms from Hf at (0.000, 0.000, 0.000), Fe at (0.000, 0.173, 0.173), Fe at (0.115, 0.115, 0.385), Fe at (0.250, 0.250, 0.250) and C at (0.000, 0.000, 0.272).

Record 17
A plane-wave DFT calculation with GGA-PBE was carried out for SrMgGaPb after structural relaxation.

The value obtained for the electronic total energy is -2.75 eV per atom. For the formation enthalpy at 0 K, the calculation gives -247 meV per atom.

The structure belongs to space group F-43m (No. 216); the cell edges are 7.613, 7.613 and 7.613 Å and the angles 90.00°, 90.00° and 90.00°. Symmetry generates all atoms from Sr at (0.000, 0.000, 0.000), Mg at (0.000, 0.000, 0.500), Ga at (0.250, 0.250, 0.750) and Pb at (0.250, 0.250, 0.250).

Record 18
A plane-wave DFT calculation with GGA-PBE was carried out for SiHSe2N after structural relaxation.

The excess energy over the best structure of this formula in the dataset is 0.232 eV/atom. The value obtained for the electronic total energy is -3.78 eV per atom.

The structure belongs to space group P4/mmm (No. 123); the cell edges are 5.113, 5.113 and 2.657 Å and the angles 90.00°, 90.00° and 90.00°. Symmetry generates all atoms from Si at (0.000, 0.000, 0.000), H at (0.500, 0.500, 0.500), Se at (0.000, 0.500, 0.500) and N at (0.500, 0.500, 0.000).

Record 19
A plane-wave DFT calculation with GGA-PBE was carried out for La2NdH after structural relaxation.

The excess energy over the best structure of this formula in the dataset is 0.284 eV/atom. The value obtained for the electronic total energy is -4.38 eV per atom.

The structure belongs to space group P6/mmm (No. 191); the cell edges are 5.7084, 5.7084 and 4.1751 Å and the angles 90.00°, 90.00° and 120.00°. Symmetry generates all atoms from La at (0.3333, 0.6667, 0.0000), Nd at (0.0000, 0.0000, 0.5000) and H at (0.0000, 0.0000, 0.0000).

Record 20
A plane-wave DFT calculation with GGA-PBE was carried out for ZnRh2F11 after structural relaxation.

The value obtained for the electronic total energy is -4.11 eV per atom.

The structure belongs to space group Ibam (No. 72); the cell edges are 8.343, 9.517 and 10.251 Å and the angles 90.00°, 90.00° and 90.00°. Symmetry generates all atoms from Zn at (0.000, 0.000, 0.250), Rh at (0.185, 0.361, 0.000), F at (0.000, 0.500, 0.000), F at (0.079, 0.265, 0.137), F at (0.167, 0.284, 0.500) and F at (0.183, 0.036, 0.370).